LiLa5 | PBE | optimized geometry

a b c (Å): 6.648 6.648 9.098
angles (deg): 110.57 110.57 33.14
Sites, in units of the cell vectors:
Li: 0.000 0.000 0.000
La: 0.326 0.326 0.687
La: 0.350 0.350 0.139
La: 0.639 0.639 0.843
La: 0.668 0.668 0.311
La: 0.992 0.992 0.491

Results
uncorrected energy: -26.316 eV per formula unit
Fermi-level density of states: 8.4 states/eV/f.u.
calculated volume: 34.1 A^3/atom
formation enthalpy at 0 K: 0.9 kcal/mol of atoms
energy above the most stable polymorph in this dataset: 4.0 kJ/mol of formula units
space-group type: Cm (8)
magnetic moment: 0.000 μB/f.u.